An optimized crystal structure of VCF, computed with PBE with a Hubbard U.

Output
Calculated total energy in eV/atom: -6.439
Space group: C2/m
Magnetization in μB per cell: 0.0
Crystal system: monoclinic

POSCAR file:
```
VCF
1.0
3.328 0.000 0.000
0.000 5.136 -0.126
-1.664 -0.967 5.391
C V F
2 2 2
Cartesian
0.000 1.293 1.988 C
1.664 2.875 3.277 C
0.000 2.022 3.732 V
1.664 2.147 1.534 V
0.000 0.490 4.840 F
1.664 3.678 0.426 F
```